[1]
The following is a DFT calculation (GGA-PBE) of a relaxed BaCd4AgAu2 crystal.

Geometry as CIF:
```
data_BaCd4AgAu2
_chemical_formula_sum 'Ba3 Cd12 Ag3 Au6'
_space_group_name_H-M_alt 'R -3 m'
_space_group_IT_number 166
_space_group_name_Hall '-R 3 2"'
_cell_length_a 4.7759
_cell_length_b 4.7759
_cell_length_c 30.2133
_cell_angle_alpha 90.00
_cell_angle_beta 90.00
_cell_angle_gamma 120.00
loop_
_atom_site_label
_atom_site_type_symbol
_atom_site_fract_x
_atom_site_fract_y
_atom_site_fract_z
_atom_site_occupancy
Ba1 Ba 0.0000 0.0000 0.0000 1
Cd1 Cd 0.0000 0.0000 0.1322 1
Cd2 Cd 0.0000 0.0000 0.4056 1
Ag1 Ag 0.0000 0.0000 0.5000 1
Au1 Au 0.0000 0.0000 0.2407 1
```

Results
The theoretical density comes out at 9.088 g/cm³. As for the electronic total energy: -2.12 eV per atom. The formation energy is -243 meV/atom.

=====

[2]
The following is a DFT calculation (GGA-PBE) of a relaxed Zr2HgAu crystal.

Geometry as CIF:
```
data_Zr2HgAu
_chemical_formula_sum 'Zr4 Hg2 Au2'
_space_group_name_H-M_alt 'C m m m'
_space_group_IT_number 65
_space_group_name_Hall '-C 2 2'
_cell_length_a 6.279
_cell_length_b 8.498
_cell_length_c 3.097
_cell_angle_alpha 90.00
_cell_angle_beta 90.00
_cell_angle_gamma 90.00
loop_
_atom_site_label
_atom_site_type_symbol
_atom_site_fract_x
_atom_site_fract_y
_atom_site_fract_z
_atom_site_occupancy
Zr1 Zr 0.250 0.250 0.000 1
Hg1 Hg 0.000 0.000 0.500 1
Au1 Au 0.000 0.500 0.500 1
```

Results
The theoretical density comes out at 11.656 g/cm³. As for the electronic total energy: -5.48 eV per atom. The formation energy is -311 meV/atom.

=====

[3]
The following is a DFT calculation (GGA-PBE) of a relaxed TbCd12Au6 crystal.

Geometry as CIF:
```
data_TbCd12Au6
_chemical_formula_sum 'Tb3 Cd36 Au18'
_space_group_name_H-M_alt 'R -3 m'
_space_group_IT_number 166
_space_group_name_Hall '-R 3 2"'
_cell_length_a 12.6726
_cell_length_b 12.6726
_cell_length_c 9.2638
_cell_angle_alpha 90.00
_cell_angle_beta 90.00
_cell_angle_gamma 120.00
loop_
_atom_site_label
_atom_site_type_symbol
_atom_site_fract_x
_atom_site_fract_y
_atom_site_fract_z
_atom_site_occupancy
Tb1 Tb 0.0000 0.0000 0.0000 1
Cd1 Cd 0.0000 0.3865 0.5000 1
Cd2 Cd 0.0818 0.1637 0.2971 1
Au1 Au 0.0549 0.5274 0.2379 1
```

Results
The theoretical density comes out at 10.400 g/cm³. As for the electronic total energy: -1.99 eV per atom. The formation energy is -134 meV/atom.

=====

[4]
The following is a DFT calculation (GGA-PBE) of a relaxed HgI2NO crystal.

Geometry as CIF:
```
data_HgI2NO
_chemical_formula_sum 'Hg1 I2 N1 O1'
_space_group_name_H-M_alt 'P 4/m m m'
_space_group_IT_number 123
_space_group_name_Hall '-P 4 2'
_cell_length_a 5.967
_cell_length_b 5.967
_cell_length_c 4.172
_cell_angle_alpha 90.00
_cell_angle_beta 90.00
_cell_angle_gamma 90.00
loop_
_atom_site_label
_atom_site_type_symbol
_atom_site_fract_x
_atom_site_fract_y
_atom_site_fract_z
_atom_site_occupancy
Hg1 Hg 0.000 0.000 0.000 1
I1 I 0.000 0.500 0.000 1
N1 N 0.000 0.000 0.500 1
O1 O 0.500 0.500 0.500 1
```

Results
The theoretical density comes out at 5.415 g/cm³. As for the electronic total energy: -1.70 eV per atom. The excess energy over the best structure of this formula in the dataset is 2.58 eV per formula unit.